Compound: Pa2IrPd
Source: Alexandria via LeMat-Bulk
Functional: PBE-GGA
Structure: relaxed

## Properties
Calculated density: 15.58 g cm⁻³
E_form: -0.493 eV per atom
D(E_F): 1.549 states/eV per atom
Final energy: -35.02 eV per cell

Unit cell a=4.1564 b=4.4171 c=4.4171 alpha=90.00 beta=90.00 gamma=90.00
Sites, in units of the cell vectors:
Pd 0.5000 0.5000 0.5000
Pa 0.0000 0.5000 0.0000
Pa 0.0000 0.0000 0.5000
Ir 0.5000 0.0000 0.0000

---

Compound: PaIrPd
Source: Alexandria via LeMat-Bulk
Functional: PBE-GGA
Structure: relaxed

## Properties
Calculated density: 15.32 g cm⁻³
E_form: -0.445 eV per atom
Distance to the lowest polymorph of the same formula: 0.530 eV per formula unit
D(E_F): 1.691 states/eV per atom
Final energy: -24.88 eV per cell

Unit cell a=3.1480 b=4.5897 c=4.5897 alpha=120.00 beta=90.00 gamma=90.00
Sites, in units of the cell vectors:
Pd 0.1840 0.6667 0.3333
Pa 0.6731 0.3333 0.6667
Ir 0.1428 0.0000 0.0000